ThMg2CdAu4 (PBE-GGA, optimized geometry); DOS(E_F) = 4.19 states/eV per cell; formation energy from the elements = -533 meV/atom; symmetry = R-3m, No. 166
1.0
2.329 1.345 9.005
-2.329 1.345 9.005
0.000 -2.690 9.005
Th Mg Cd Au
1 2 1 4
direct
0.000 0.000 0.000
0.237 0.237 0.237
0.763 0.763 0.763
0.500 0.500 0.500
0.120 0.120 0.120
0.390 0.390 0.390
0.610 0.610 0.610
0.880 0.880 0.880